1.
# HfBeSi

A relaxed HfBeSi crystal (GGA-PBE, the Alexandria database).

a b c (Å): 5.111 5.111 6.269
angles (deg): 127.72 127.72 42.82
Atoms (fractional coordinates):
Hf 0.063 0.063 0.310
Hf 0.937 0.937 0.690
Be 0.349 0.349 0.300
Be 0.651 0.651 0.700
Si 0.324 0.324 0.881
Si 0.676 0.676 0.119

Its theoretical density is 8.533 g/cm3. The uncorrected formation energy comes out at -567.8 meV per atom. As for the size of the total moment: 0.00 μB/atom. Its space group is C2/m, No. 12.

2.
# TeIr2Cl

A relaxed TeIr2Cl crystal (GGA-PBE, the Alexandria database).

a b c (Å): 5.069 5.069 6.488
angles (deg): 92.87 92.87 35.77
Atoms (fractional coordinates):
Te 0.000 0.000 0.000
Ir 0.374 0.374 0.261
Ir 0.648 0.648 0.250
Cl 0.258 0.258 0.580

Its theoretical density is 9.342 g/cm3. The uncorrected formation energy comes out at 331.8 meV per atom. As for the size of the total moment: 0.11 μB/atom. Its space group is Cm, No. 8.

3.
# Zr3NbPd

A relaxed Zr3NbPd crystal (GGA-PBE, the Alexandria database).

a b c (Å): 5.015 5.015 5.015
angles (deg): 90.00 90.00 90.00
Atoms (fractional coordinates):
Zr 0.000 0.000 0.500
Zr 0.000 0.500 0.000
Zr 0.500 0.000 0.000
Nb 0.500 0.500 0.500
Pd 0.000 0.000 0.000

Its formation energy is 70 kJ/mol of atoms. Its theoretical density is 6.227 g/cm3. As for the size of the total moment: 0.30 μB/atom. Its space group is Pm-3m, No. 221.

4.
# NaYBe3

A relaxed NaYBe3 crystal (GGA-PBE, the Alexandria database).

a b c (Å): 5.285 5.285 5.285
angles (deg): 90.00 90.00 90.00
Atoms (fractional coordinates):
Na 0.000 0.000 0.000
Y 0.500 0.500 0.500
Be 0.000 0.500 0.500
Be 0.500 0.000 0.500
Be 0.500 0.500 0.000

Its formation energy is 151 kJ/mol of atoms. Its theoretical density is 1.563 g/cm3. As for the size of the total moment: 0.00 μB/atom. Its space group is Pm-3m, No. 221.

5.
# SrLa2Eu

A relaxed SrLa2Eu crystal (GGA-PBE, the Alexandria database).

a b c (Å): 6.188 6.188 6.188
angles (deg): 60.00 60.00 60.00
Atoms (fractional coordinates):
Sr 0.000 0.000 0.000
La 0.250 0.250 0.250
La 0.750 0.750 0.750
Eu 0.500 0.500 0.500

Its formation energy is 17 kJ/mol of atoms. Its theoretical density is 5.128 g/cm3. As for the size of the total moment: 1.92 μB/atom. Its space group is Fm-3m, No. 225.

6.
# Pm2PrGe2Pd2

A relaxed Pm2PrGe2Pd2 crystal (GGA-PBE, the Alexandria database).

a b c (Å): 9.833 9.833 9.833
angles (deg): 26.49 26.49 26.49
Atoms (fractional coordinates):
Pm 0.125 0.125 0.125
Pm 0.875 0.875 0.875
Pr 0.000 0.000 0.000
Ge 0.259 0.259 0.259
Ge 0.741 0.741 0.741
Pd 0.400 0.400 0.400
Pd 0.600 0.600 0.600

Its formation energy is -76 kJ/mol of atoms. Its theoretical density is 7.856 g/cm3. As for the size of the total moment: 0.00 μB/atom. Its space group is R-3m, No. 166.

7.
# UTiBe17

A relaxed UTiBe17 crystal (GGA-PBE, the Alexandria database).

a b c (Å): 5.691 5.691 5.691
angles (deg): 82.88 82.88 82.88
Atoms (fractional coordinates):
U 0.000 0.000 0.000
Ti 0.324 0.324 0.324
Be 0.005 0.005 0.501
Be 0.005 0.501 0.005
Be 0.159 0.660 0.660
Be 0.319 0.319 0.813
Be 0.319 0.813 0.319
Be 0.375 0.657 0.948
Be 0.375 0.948 0.657
Be 0.501 0.005 0.005
Be 0.561 0.561 0.561
Be 0.657 0.375 0.948
Be 0.657 0.948 0.375
Be 0.660 0.159 0.660
Be 0.660 0.660 0.159
Be 0.754 0.754 0.754
Be 0.813 0.319 0.319
Be 0.948 0.375 0.657
Be 0.948 0.657 0.375

Its formation energy is -8 kJ/mol of atoms. Its theoretical density is 4.041 g/cm3. As for the size of the total moment: 0.07 μB/atom. Its space group is R3m, No. 160.

8.
# TcP2AuO8

A relaxed TcP2AuO8 crystal (GGA-PBE, the Alexandria database).

a b c (Å): 5.077 5.077 8.495
angles (deg): 100.92 100.92 62.38
Atoms (fractional coordinates):
Tc 0.000 0.000 0.000
P 0.307 0.307 0.805
P 0.693 0.693 0.195
Au 0.000 0.000 0.500
O 0.180 0.655 0.839
O 0.199 0.199 0.928
O 0.225 0.225 0.628
O 0.345 0.820 0.161
O 0.655 0.180 0.839
O 0.775 0.775 0.372
O 0.801 0.801 0.072
O 0.820 0.345 0.161

Its theoretical density is 4.255 g/cm3. The uncorrected formation energy comes out at -1567.2 meV per atom. As for the size of the total moment: 0.16 μB/atom. Its space group is C2/m, No. 12.

E_tot, respectively: -41.6; -21.4; -37.3; -11.1; -21.1; -39.4; -84.0; -82.9 eV/cell.